# KZnAs2, relaxed, DFT PBE-GGA
data_KZnAs2
_cell_length_a 10.171
_cell_length_b 3.780
_cell_length_c 6.047
_cell_angle_alpha 90.00
_cell_angle_beta 106.36
_cell_angle_gamma 90.00
_space_group_name_H-M_alt 'C 1 m 1'
_space_group_IT_number 8
_space_group_name_Hall 'C -2y'
loop_
_atom_site_label
_atom_site_type_symbol
_atom_site_fract_x
_atom_site_fract_y
_atom_site_fract_z
_atom_site_occupancy
K1 K 0.000 0.000 0.000 1
Zn1 Zn 0.196 0.000 0.547 1
As1 As 0.019 0.500 0.534 1
As2 As 0.319 0.500 0.401 1
# - volume (Å³/cell) = 223.1
# - VASP energy (Ry per atom) = -0.221
# - magnetic moment (μB/cell) = 0.00
# - D(E_F) (states/eV/atom) = 0.2966

---

# KZnAs2, relaxed, DFT PBE-GGA
data_KZnAs2
_cell_length_a 4.413
_cell_length_b 6.610
_cell_length_c 7.589
_cell_angle_alpha 90.00
_cell_angle_beta 90.00
_cell_angle_gamma 90.00
_space_group_name_H-M_alt 'I m m m'
_space_group_IT_number 71
_space_group_name_Hall '-I 2 2'
loop_
_atom_site_label
_atom_site_type_symbol
_atom_site_fract_x
_atom_site_fract_y
_atom_site_fract_z
_atom_site_occupancy
K1 K 0.000 0.000 0.000 1
Zn1 Zn 0.000 0.000 0.500 1
As1 As 0.000 0.500 0.166 1
# - volume (Å³/cell) = 221.4
# - VASP energy (Ry per atom) = -0.217
# - magnetic moment (μB/cell) = 0.00
# - D(E_F) (states/eV/atom) = 0.4877

---

# KZnAs2, relaxed, DFT PBE-GGA
data_KZnAs2
_cell_length_a 2.980
_cell_length_b 4.801
_cell_length_c 6.750
_cell_angle_alpha 90.00
_cell_angle_beta 90.11
_cell_angle_gamma 90.00
_space_group_name_H-M_alt 'P 1 m 1'
_space_group_IT_number 6
_space_group_name_Hall 'P -2y'
loop_
_atom_site_label
_atom_site_type_symbol
_atom_site_fract_x
_atom_site_fract_y
_atom_site_fract_z
_atom_site_occupancy
K1 K 0.000 0.000 0.000 1
Zn1 Zn 0.500 0.500 0.309 1
As1 As 0.494 0.000 0.514 1
As2 As 0.500 0.500 0.697 1
# - volume (Å³/cell) = 96.6
# - VASP energy (Ry per atom) = -0.212
# - magnetic moment (μB/cell) = 0.00
# - D(E_F) (states/eV/atom) = 0.4751

---

# KZnAs2, relaxed, DFT PBE-GGA
data_KZnAs2
_cell_length_a 6.477
_cell_length_b 9.651
_cell_length_c 2.802
_cell_angle_alpha 90.00
_cell_angle_beta 90.00
_cell_angle_gamma 90.00
_space_group_name_H-M_alt 'C m m m'
_space_group_IT_number 65
_space_group_name_Hall '-C 2 2'
loop_
_atom_site_label
_atom_site_type_symbol
_atom_site_fract_x
_atom_site_fract_y
_atom_site_fract_z
_atom_site_occupancy
K1 K 0.000 0.000 0.000 1
Zn1 Zn 0.000 0.500 0.000 1
As1 As 0.250 0.250 0.500 1
# - volume (Å³/cell) = 175.1
# - VASP energy (Ry per atom) = -0.202
# - magnetic moment (μB/cell) = 0.00
# - D(E_F) (states/eV/atom) = 0.3419

---

# KZn6As4, relaxed, DFT PBE-GGA
data_KZn6As4
_cell_length_a 4.373
_cell_length_b 4.373
_cell_length_c 25.494
_cell_angle_alpha 90.00
_cell_angle_beta 90.00
_cell_angle_gamma 90.00
_space_group_name_H-M_alt 'I 4/m m m'
_space_group_IT_number 139
_space_group_name_Hall '-I 4 2'
loop_
_atom_site_label
_atom_site_type_symbol
_atom_site_fract_x
_atom_site_fract_y
_atom_site_fract_z
_atom_site_occupancy
K1 K 0.000 0.000 0.000 1
Zn1 Zn 0.000 0.500 0.133 1
Zn2 Zn 0.000 0.500 0.250 1
As1 As 0.000 0.000 0.196 1
As2 As 0.000 0.000 0.419 1
# - volume (Å³/cell) = 487.4
# - VASP energy (Ry per atom) = -0.197
# - magnetic moment (μB/cell) = 0.00
# - D(E_F) (states/eV/atom) = 0.1753

---

# KZnAs, relaxed, DFT PBE-GGA
data_KZnAs
_cell_length_a 7.933
_cell_length_b 4.226
_cell_length_c 10.342
_cell_angle_alpha 90.00
_cell_angle_beta 90.00
_cell_angle_gamma 90.00
_space_group_name_H-M_alt 'P n m a'
_space_group_IT_number 62
_space_group_name_Hall '-P 2ac 2n'
loop_
_atom_site_label
_atom_site_type_symbol
_atom_site_fract_x
_atom_site_fract_y
_atom_site_fract_z
_atom_site_occupancy
K1 K 0.020 0.250 0.181 1
Zn1 Zn 0.104 0.250 0.512 1
As1 As 0.210 0.750 0.418 1
# - volume (Å³/cell) = 346.7
# - VASP energy (Ry per atom) = -0.202
# - magnetic moment (μB/cell) = 0.00

---

# KZnAs3, relaxed, DFT PBE-GGA
data_KZnAs3
_cell_length_a 5.503
_cell_length_b 5.503
_cell_length_c 5.503
_cell_angle_alpha 90.00
_cell_angle_beta 90.00
_cell_angle_gamma 90.00
_space_group_name_H-M_alt 'P m -3 m'
_space_group_IT_number 221
_space_group_name_Hall '-P 4 2 3'
loop_
_atom_site_label
_atom_site_type_symbol
_atom_site_fract_x
_atom_site_fract_y
_atom_site_fract_z
_atom_site_occupancy
K1 K 0.000 0.000 0.000 1
Zn1 Zn 0.500 0.500 0.500 1
As1 As 0.000 0.000 0.500 1
# - volume (Å³/cell) = 166.6
# - energy relative to the lowest polymorph listed for this composition (eV per atom) = 1.307
# - magnetic moment (μB/cell) = 0.00
# - D(E_F) (states/eV/atom) = 0.9612

---

# KZnAs2, relaxed, DFT PBE-GGA
data_KZnAs2
_cell_length_a 4.472
_cell_length_b 4.472
_cell_length_c 4.446
_cell_angle_alpha 90.00
_cell_angle_beta 90.00
_cell_angle_gamma 90.00
_space_group_name_H-M_alt 'P 4/m m m'
_space_group_IT_number 123
_space_group_name_Hall '-P 4 2'
loop_
_atom_site_label
_atom_site_type_symbol
_atom_site_fract_x
_atom_site_fract_y
_atom_site_fract_z
_atom_site_occupancy
K1 K 0.000 0.000 0.000 1
Zn1 Zn 0.500 0.500 0.000 1
As1 As 0.000 0.500 0.500 1
# - volume (Å³/cell) = 88.9
# - VASP energy (Ry per atom) = -0.200
# - magnetic moment (μB/cell) = 0.00
# - D(E_F) (states/eV/atom) = 0.6652

---

# KZnAs2, relaxed, DFT PBE-GGA
data_KZnAs2
_cell_length_a 3.653
_cell_length_b 3.653
_cell_length_c 7.594
_cell_angle_alpha 90.00
_cell_angle_beta 90.00
_cell_angle_gamma 90.00
_space_group_name_H-M_alt 'P 4 m m'
_space_group_IT_number 99
_space_group_name_Hall 'P 4 -2'
loop_
_atom_site_label
_atom_site_type_symbol
_atom_site_fract_x
_atom_site_fract_y
_atom_site_fract_z
_atom_site_occupancy
K1 K 0.000 0.000 0.000 1
Zn1 Zn 0.500 0.500 0.308 1
As1 As 0.000 0.000 0.546 1
As2 As 0.500 0.500 0.664 1
# - volume (Å³/cell) = 101.3
# - VASP energy (Ry per atom) = -0.214
# - magnetic moment (μB/cell) = 0.00
# - D(E_F) (states/eV/atom) = 0.4578

---

# K4ZnAs, relaxed, DFT PBE-GGA
data_K4ZnAs
_cell_length_a 9.830
_cell_length_b 9.830
_cell_length_c 9.830
_cell_angle_alpha 90.00
_cell_angle_beta 90.00
_cell_angle_gamma 90.00
_space_group_name_H-M_alt 'F -4 3 m'
_space_group_IT_number 216
_space_group_name_Hall 'F -4 2 3'
loop_
_atom_site_label
_atom_site_type_symbol
_atom_site_fract_x
_atom_site_fract_y
_atom_site_fract_z
_atom_site_occupancy
K1 K 0.123 0.123 0.377 1
Zn1 Zn 0.000 0.000 0.000 1
As1 As 0.250 0.250 0.750 1
# - volume (Å³/cell) = 949.8
# - VASP energy (Ry per atom) = -0.102
# - magnetic moment (μB/cell) = 0.00
# - D(E_F) (states/eV/atom) = 0.3518

---

# KZn3As3, relaxed, DFT PBE-GGA
data_KZn3As3
_cell_length_a 7.048
_cell_length_b 7.048
_cell_length_c 7.048
_cell_angle_alpha 90.00
_cell_angle_beta 90.00
_cell_angle_gamma 90.00
_space_group_name_H-M_alt 'P m -3 n'
_space_group_IT_number 223
_space_group_name_Hall '-P 4n 2 3'
loop_
_atom_site_label
_atom_site_type_symbol
_atom_site_fract_x
_atom_site_fract_y
_atom_site_fract_z
_atom_site_occupancy
K1 K 0.000 0.000 0.000 1
Zn1 Zn 0.000 0.250 0.500 1
As1 As 0.000 0.500 0.250 1
# - volume (Å³/cell) = 350.0
# - VASP energy (Ry per atom) = -0.214
# - magnetic moment (μB/cell) = 0.00
# - D(E_F) (states/eV/atom) = 0.6664

---

# KZnAs3, relaxed, DFT PBE-GGA
data_KZnAs3
_cell_length_a 5.029
_cell_length_b 5.029
_cell_length_c 5.029
_cell_angle_alpha 90.00
_cell_angle_beta 90.00
_cell_angle_gamma 90.00
_space_group_name_H-M_alt 'P m -3 m'
_space_group_IT_number 221
_space_group_name_Hall '-P 4 2 3'
loop_
_atom_site_label
_atom_site_type_symbol
_atom_site_fract_x
_atom_site_fract_y
_atom_site_fract_z
_atom_site_occupancy
K1 K 0.000 0.000 0.000 1
Zn1 Zn 0.500 0.500 0.500 1
As1 As 0.000 0.500 0.500 1
# - volume (Å³/cell) = 127.2
# - energy relative to the lowest polymorph listed for this composition (eV per atom) = 0.000
# - magnetic moment (μB/cell) = 0.00
# - D(E_F) (states/eV/atom) = 0.5817

---

# KZn2As, relaxed, DFT PBE-GGA
data_KZn2As
_cell_length_a 6.237
_cell_length_b 9.217
_cell_length_c 3.223
_cell_angle_alpha 90.00
_cell_angle_beta 90.00
_cell_angle_gamma 90.00
_space_group_name_H-M_alt 'C m m m'
_space_group_IT_number 65
_space_group_name_Hall '-C 2 2'
loop_
_atom_site_label
_atom_site_type_symbol
_atom_site_fract_x
_atom_site_fract_y
_atom_site_fract_z
_atom_site_occupancy
K1 K 0.000 0.000 0.000 1
Zn1 Zn 0.250 0.250 0.500 1
As1 As 0.000 0.500 0.000 1
# - volume (Å³/cell) = 185.2
# - VASP energy (Ry per atom) = -0.127
# - magnetic moment (μB/cell) = 0.00
# - D(E_F) (states/eV/atom) = 0.6132